Mg3Cd4Au | GGA-PBE | relaxed

Summary:
N(E_F), states/eV per atom: 0.238
Formation energy from the elements, eV/atom: -0.148

abc: 3.2320 4.5372 12.2494
angles: 99.30 97.56 90.15
Closest atoms and distances in Å follow each position.
Space group P-1 (No. 2)
One atom of each set of equivalent atoms:
Mg 0.0000 0.0000 0.0000 x1  4 Au 2.78-2.79
Mg 0.3505 0.8511 0.6993 x2  9 Cd 3.03-3.29, 2 Mg 3.23
Cd 0.0994 0.5987 0.1971 x2  2 Au 2.86, 1 Cd 2.92, 4 Mg 3.03-3.07
Cd 0.2200 0.7204 0.4408 x2  7 Cd 2.92-3.23, 3 Mg 3.10-3.22
Au 0.5000 0.5000 0.0000 x1  4 Mg 2.78-2.79, 4 Cd 2.86